(1)
# Re2NiSe

A relaxed Re2NiSe crystal (GGA-PBE, Alexandria via LeMat-Bulk).

abc: 5.196 8.519 2.908
angles: 90.00 113.76 90.00
Space group C2/m (No. 12)
Symmetry-distinct sites (fractional):
Re (0.250, 0.250, 0.000) (multiplicity 4)
Ni (0.000, 0.000, 0.500) (multiplicity 2)
Se (0.000, 0.500, 0.500) (multiplicity 2)

N(E_F) (states/eV per cell): 7.29
Volume (Å³ per atom): 14.72
M_tot (μB per cell): 0.00
Calculated total energy (eV per atom): -7.849

***

(2)
# ReNiSe3

A relaxed ReNiSe3 crystal (GGA-PBE, Alexandria via LeMat-Bulk).

abc: 4.875 4.875 4.875
angles: 90.00 90.00 90.00
Space group Pm-3m (No. 221)
Symmetry-distinct sites (fractional):
Re (0.000, 0.000, 0.000) (multiplicity 1)
Ni (0.500, 0.500, 0.500) (multiplicity 1)
Se (0.000, 0.000, 0.500) (multiplicity 3)

N(E_F) (states/eV per cell): 9.05
Energy above the lowest structure with this stoichiometry (meV/atom): 1072
Volume (Å³ per atom): 23.17
M_tot (μB per cell): 1.16
Calculated total energy (eV per atom): -4.792